Record 1
Gd3GaNiSe7 after structural relaxation. Source: Alexandria via LeMat-Bulk, functional PBE.

Properties
Crystal system = hexagonal
Size of the total moment = 23.0 μB per formula unit
Uncorrected formation energy = -15.75 eV/f.u.
Volume = 571 Å³ per cell

```
Gd3GaNiSe7
1.0
-3.3842 -2.4076 -9.1731
-2.7865 -5.4609 7.9881
-5.1381 3.8981 0.8725
Se Ga Ni Gd
14 2 2 6
Cartesian
-6.3612 -5.4443 -1.9106 Se
-8.7713 -3.7384 0.5480 Se
-2.1325 -3.0527 3.7846 Se
-4.4671 -5.9488 2.9754 Se
-2.3449 -0.3781 -0.8933 Se
-6.7027 -2.3672 6.6037 Se
-6.0959 -1.8087 -0.8404 Se
-4.7551 1.3277 1.5654 Se
-7.1797 -2.4325 -4.4362 Se
-3.2163 -3.6764 0.1889 Se
-5.7081 -2.3778 2.7300 Se
-4.8451 0.4637 -3.6270 Se
-4.4135 -1.7493 -6.9490 Se
-3.3383 -3.3091 -3.4267 Se
-7.6125 -0.9330 3.0533 Ga
-5.2426 -1.8643 -3.1033 Ga
-2.5312 1.9203 0.4298 Ni
-5.1002 3.8694 0.8661 Ni
-8.8281 -2.2442 -1.9964 Gd
-7.3266 0.4571 -5.2230 Gd
-5.9715 -4.5376 0.7992 Gd
-4.7350 -3.8565 5.0383 Gd
-6.0901 1.1382 -0.9840 Gd
-3.2335 -1.1552 1.8116 Gd
```

Record 2
GdTmGaNi after structural relaxation. Source: Alexandria via LeMat-Bulk, functional PBE.

Properties
Formation energy = -0.45 eV/atom
Crystal system = cubic
Size of the total moment = 7.2 μB per formula unit
Volume = 84 Å³ per cell

```
GdTmGaNi
1.0
4.9237 0.0000 0.0000
2.4619 4.2641 0.0000
2.4619 1.4214 4.0202
Ga Ni Gd Tm
1 1 1 1
Cartesian
4.9237 2.8427 2.0101 Ga
0.0000 0.0000 0.0000 Ni
7.3856 4.2641 3.0152 Gd
2.4619 1.4214 1.0051 Tm
```

Record 3
GdYGaNi after structural relaxation. Source: Alexandria via LeMat-Bulk, functional PBE.

Properties
Formation energy = -0.43 eV/atom
Crystal system = cubic
Size of the total moment = 7.2 μB per formula unit
Volume = 87 Å³ per cell

```
GdYGaNi
1.0
-2.1766 -0.2559 4.4603
2.1089 -2.6369 3.6464
2.0317 2.3260 3.8935
Ga Gd Ni Y
1 1 1 1
Cartesian
0.9820 -0.2834 6.0001 Ga
0.4910 -0.1417 3.0000 Gd
0.0000 0.0000 0.0000 Ni
1.4730 -0.4251 9.0001 Y
```

Record 4
GdZnGaNi after structural relaxation. Source: Alexandria via LeMat-Bulk, functional PBE.

Properties
Formation energy = -0.35 eV/atom
Crystal system = cubic
Size of the total moment = 7.2 μB per formula unit
Volume = 69 Å³ per cell

```
GdZnGaNi
1.0
-0.2388 4.5912 -0.0994
-3.6980 2.0719 -1.7826
-2.9480 2.2091 2.7522
Ni Ga Zn Gd
1 1 1 1
Cartesian
-5.1637 6.6542 0.6527 Ni
-3.4425 4.4361 0.4351 Ga
-1.7212 2.2181 0.2176 Zn
0.0000 0.0000 0.0000 Gd
```